# Sm2MnSiO6

Crystalline Sm2MnSiO6 at its relaxed geometry (PBE with a Hubbard U, Alexandria via LeMat-Bulk).

a = 4.658 Å, b = 5.237 Å, c = 5.237 Å
α = 90.00°, β = 90.00°, γ = 90.00°
Sites, in units of the cell vectors:
Sm 0.019 0.500 0.000
Sm 0.019 0.000 0.500
Mn 0.574 0.500 0.500
Si 0.604 0.000 0.000
O 0.713 0.227 0.227
O 0.713 0.227 0.773
O 0.137 0.500 0.500
O 0.244 0.000 0.000
O 0.713 0.773 0.773
O 0.713 0.773 0.227

Values from the calculation:
Crystal system: tetragonal
DOS at the Fermi energy in states/eV per atom: 0.00
Uncorrected energy in eV per atom: -8.00